## Ga2PS2 (PBE)

Data for an optimized crystal structure of Ga2PS2.

Results
Uncorrected formation energy   361 meV per atom
V   21.0 Å³/atom
N(E_F)   1.70 states/eV/f.u.

Cell lengths 4.5614, 4.5614, 5.9980 Å; angles 67.65, 67.65, 90.00 degrees
Element x y z (fractional)
P  0.0000  0.0000  0.0000
S  0.6562  0.6562  0.6876
S  0.3438  0.3438  0.3124
Ga  0.2500  0.7500  0.5000
Ga  0.7500  0.2500  0.5000

=====

## Sc2RhSe (PBE)

Data for an optimized crystal structure of Sc2RhSe.

Results
Uncorrected formation energy   -621 meV per atom
V   25.4 Å³/atom
N(E_F)   5.05 states/eV/f.u.

Cell lengths 8.1220, 8.1220, 8.1220 Å; angles 27.63, 27.63, 27.63 degrees
Element x y z (fractional)
Sc  0.8933  0.8933  0.8933
Sc  0.1067  0.1067  0.1067
Rh  0.5000  0.5000  0.5000
Se  0.0000  0.0000  0.0000

=====

## In2IrRuCl (PBE)

Data for an optimized crystal structure of In2IrRuCl.

Results
Uncorrected formation energy   482 meV per atom
V   26.6 Å³/atom
N(E_F)   5.74 states/eV/f.u.

Cell lengths 5.3249, 4.6904, 5.3249 Å; angles 90.00, 90.00, 90.00 degrees
Element x y z (fractional)
In  0.0000  0.0000  0.5000
In  0.5000  0.0000  0.0000
Cl  0.5000  0.5000  0.5000
Ir  0.0000  0.5000  0.0000
Ru  0.0000  0.0000  0.0000

=====

## Cd2InHg2Pd5 (PBE)

Data for an optimized crystal structure of Cd2InHg2Pd5.

Results
V   19.2 Å³/atom
N(E_F)   3.89 states/eV/f.u.
Formation energy   -223 meV per atom

Cell lengths 3.6448, 10.2591, 10.2591 Å; angles 90.00, 90.00, 90.00 degrees
Element x y z (fractional)
Pd  0.5000  0.6438  0.6422
Pd  0.5000  0.6422  0.3562
Pd  0.5000  0.5000  0.0000
Pd  0.5000  0.3578  0.6438
Pd  0.5000  0.8578  0.8562
Pd  0.5000  0.0000  0.5000
Pd  0.5000  0.8562  0.1422
Pd  0.5000  0.3562  0.3578
Pd  0.5000  0.1438  0.8578
Pd  0.5000  0.1422  0.1438
Cd  0.0000  0.8527  0.3527
Cd  0.0000  0.3527  0.1473
Cd  0.0000  0.1473  0.6473
Cd  0.0000  0.6473  0.8527
Hg  0.0000  0.3546  0.8546
Hg  0.0000  0.8546  0.6454
Hg  0.0000  0.1454  0.3546
Hg  0.0000  0.6454  0.1454
In  0.0000  0.5000  0.5000
In  0.0000  0.0000  0.0000